No. 1
Below is Mg2CoPt after structural relaxation, with properties calculated at the PBEsol level.

Cell: 3.045 3.045 6.172 Å, 90.00 90.00 90.00°
Last column: magnetic moment on the atom in μB.
Fractional coordinates of all 4 atoms:
Co 0.500 0.500 0.500  0.46
Mg 0.000 0.000 0.738  -0.01
Mg 0.000 0.000 0.262  -0.01
Pt 0.500 0.500 0.000  -0.01

DFT total energy (eV/atom): -4.791
Size of the total moment (μB/f.u.): 0.38
ΔE_f (kJ per mole of atoms): -25
Symmetry: P4/mmm



No. 2
Below is RbMg3Co after structural relaxation, with properties calculated at the PBEsol level.

Cell: 6.532 6.532 6.532 Å, 90.00 90.00 90.00°
Last column: magnetic moment on the atom in μB.
Fractional coordinates of all 5 atoms:
Mg 0.000 0.500 0.000  0.00
Mg 0.000 0.000 0.500  0.00
Mg 0.500 0.000 0.000  0.00
Co 0.500 0.500 0.500  2.25
Rb 0.000 0.000 0.000  0.00

DFT total energy (eV/atom): -0.914
Size of the total moment (μB/f.u.): 2.16
ΔE_f (kJ per mole of atoms): 180
Symmetry: Pm-3m